# NbZnH

A relaxed structure of NbZnH (GGA-PBE, Alexandria via LeMat-Bulk).

CIF file:
```
data_NbZnH
_symmetry_space_group_name_H-M 'P 1'
_symmetry_Int_Tables_number 1
_cell_length_a 3.060
_cell_length_b 3.060
_cell_length_c 4.600
_cell_angle_alpha 90.00
_cell_angle_beta 90.00
_cell_angle_gamma 120.00
loop_
_symmetry_equiv_pos_as_xyz
'x,y,z'
loop_
_atom_site_label
_atom_site_fract_x
_atom_site_fract_y
_atom_site_fract_z
_atom_site_occupancy
Nb1 0.000 0.000 0.000 1
Zn1 0.667 0.333 0.518 1
H1 0.333 0.667 0.166 1
```

Results
Total magnetic moment in μB/f.u.: 0.0
Energy in eV/atom: -4.966